The following is a PBE-GGA calculation of a geometry-optimized Li4HoTaO6 structure, from OQMD via LeMat-Bulk.

## Properties
total magnetic moment: 0.000 μB per atom
space-group type: No. 5
electronic total energy: -7.095 eV per atom
crystal system: monoclinic

extended XYZ file:
```
12
Lattice="2.703 -4.690 0.000 2.703 4.690 0.000 -1.786 0.000 4.890" Properties=species:S:1:pos:R:3 pbc="T T T"
Li 0.000 0.000 0.000
Li 2.703 1.210 0.000
Li 2.703 -1.800 0.000
Li 1.810 -3.312 2.445
Ho 1.810 2.946 2.445
Ta 1.810 -0.189 2.445
O 0.996 1.260 1.268
O 0.158 -0.159 3.575
O 0.999 -1.594 1.284
O 2.625 1.260 3.623
O 3.463 -0.159 1.315
O 2.622 -1.594 3.606
```